(1)
Entry from the Alexandria database: V6TcW12 after structural relaxation (GGA-PBE).

a = 7.229 Å, b = 7.229 Å, c = 7.229 Å
α = 107.86°, β = 107.86°, γ = 107.86°
Element x y z (fractional)
V (0.585, 0.778, 0.317)
V (0.683, 0.415, 0.222)
V (0.222, 0.683, 0.415)
V (0.415, 0.222, 0.683)
V (0.317, 0.585, 0.778)
V (0.778, 0.317, 0.585)
Tc (0.000, 0.000, 0.000)
W (0.891, 0.702, 0.607)
W (0.607, 0.891, 0.702)
W (0.702, 0.607, 0.891)
W (0.109, 0.298, 0.393)
W (0.393, 0.109, 0.298)
W (0.298, 0.393, 0.109)
W (0.991, 0.863, 0.321)
W (0.137, 0.679, 0.009)
W (0.679, 0.009, 0.137)
W (0.009, 0.137, 0.679)
W (0.863, 0.321, 0.991)
W (0.321, 0.991, 0.863)

Output
The calculation puts the formation enthalpy at 0 K at 0.45 eV/atom.

(2)
Entry from the Alexandria database: Cs2Cd2Sn after structural relaxation (GGA-PBE).

a = 6.490 Å, b = 5.138 Å, c = 7.504 Å
α = 69.98°, β = 64.38°, γ = 90.00°
Element x y z (fractional)
Cs (0.697, 0.197, 0.606)
Cs (0.303, 0.803, 0.394)
Cd (0.252, 0.500, 0.000)
Cd (0.748, 0.500, 0.000)
Sn (0.000, 0.000, 0.000)

Output
As for the distance to the lowest polymorph of the same formula: 0.00 eV per formula unit. The calculation puts the formation enthalpy at 0 K at -0.14 eV/atom.

(3)
Entry from the Alexandria database: TiBeCo2 after structural relaxation (GGA-PBE).

a = 2.855 Å, b = 2.855 Å, c = 5.375 Å
α = 90.00°, β = 90.00°, γ = 90.00°
Element x y z (fractional)
Be (0.500, 0.500, 0.000)
Co (0.000, 0.000, 0.772)
Co (0.000, 0.000, 0.228)
Ti (0.500, 0.500, 0.500)

Output
The calculation puts the formation enthalpy at 0 K at -0.39 eV/atom.

(4)
Entry from the Alexandria database: PuSN after structural relaxation (GGA-PBE).

a = 4.004 Å, b = 3.731 Å, c = 3.731 Å
α = 120.00°, β = 90.00°, γ = 90.00°
Last column: magnetic moment on the atom in μB.
Element x y z (fractional)
S (0.667, 0.333, 0.667)  -0.25
N (0.167, 0.000, 0.000)  -0.43
Pu (0.167, 0.667, 0.333)  3.80

Output
As for the distance to the lowest polymorph of the same formula: 0.37 eV per formula unit. For the formation energy without anion corrections, the calculation gives -0.97 eV/atom.

For each record above, in turn, the calculated size of the total moment values are 0.0 0.0 0.0 3.0 μB per formula unit.
For each record above, in turn, the calculated DOS(E_F) values are 20.61 1.07 1.58 5.61 states/eV per cell.